Compound: Pm3Ga3Co
Source: Alexandria via LeMat-Bulk
Functional: PBE-GGA
Structure: relaxed

Summary:
M_tot = 0.00 μB/cell
Density of states at the Fermi level = 23.50 states/eV/cell
ΔE_f = -0.5056 eV per atom

a = 11.450 Å, b = 3.916 Å, c = 15.002 Å
α = 90.00°, β = 107.17°, γ = 90.00°
Space group C2/m (No. 12)
Symmetry-distinct sites (fractional):
Pm1 0.026 0.000 0.389 x4
Pm2 0.118 0.000 0.920 x4
Pm3 0.239 0.000 0.243 x4
Ga1 0.025 0.500 0.232 x4
Ga2 0.102 0.500 0.075 x4
Ga3 0.175 0.500 0.540 x4
Co1 0.218 0.500 0.378 x4